# 1
A relaxed TlCrAu2 crystal. Source: the Alexandria database, functional PBE.

Lattice parameters (Å, degrees): 3.5003 3.6983 6.0747 90.00 90.00 90.00
With the nearest neighbours (Å) after each atom.
Fractional positions:
Tl (0.0000, 0.0000, 0.0000)  6 Au 2.98-3.10, 4 Cr 3.06
Cr (0.5000, 0.5000, 0.2794)  5 Au 2.81-2.85, 4 Tl 3.06
Au (0.0000, 0.0000, 0.4898)  4 Cr 2.85, 4 Au 2.97, 2 Tl 2.98-3.10
Au (0.5000, 0.5000, 0.7419)  1 Cr 2.81, 4 Au 2.97, 4 Tl 2.99

As for the symmetry: Pmm2. The value obtained for the formation energy is 0.23 eV per atom.

---

# 2
A relaxed TlCr2Au crystal. Source: the Alexandria database, functional PBE.

Lattice parameters (Å, degrees): 8.7367 8.7367 8.7367 21.60 21.60 21.60
With the nearest neighbours (Å) after each atom.
Fractional positions:
Tl (0.0000, 0.0000, 0.0000)  6 Cr 2.93, 6 Tl 3.27
Cr (0.2456, 0.2456, 0.2456)  3 Au 2.77, 3 Tl 2.93
Cr (0.7544, 0.7544, 0.7544)  3 Au 2.77, 3 Tl 2.93
Au (0.5000, 0.5000, 0.5000)  6 Cr 2.77

As for the symmetry: R-3m. The value obtained for the formation energy is 0.59 eV per atom.

---

# 3
A relaxed TlCr2Au2 crystal. Source: the Alexandria database, functional PBE.

Lattice parameters (Å, degrees): 8.5811 8.5811 8.5811 157.79 157.79 31.61
With the nearest neighbours (Å) after each atom.
Fractional positions:
Tl (0.0000, 0.0000, 0.0000)  8 Au 3.06, 4 Tl 3.31
Cr (0.2500, 0.7500, 0.5000)  4 Cr 2.34
Cr (0.7500, 0.2500, 0.5000)  4 Cr 2.34
Au (0.3801, 0.3801, 0.0000)  4 Cr 2.71
Au (0.6199, 0.6199, 0.0000)  4 Cr 2.71

As for the symmetry: I4/mmm. The value obtained for the formation energy is 0.46 eV per atom.

---

# 4
A relaxed TlCr2Au crystal. Source: the Alexandria database, functional PBE.

Lattice parameters (Å, degrees): 3.1862 3.1862 7.3535 90.00 90.00 90.00
With the nearest neighbours (Å) after each atom.
Fractional positions:
Tl (0.0000, 0.0000, 0.0000)  8 Cr 3.01, 4 Tl 3.19
Cr (0.5000, 0.5000, 0.2715)  4 Au 2.81, 4 Tl 3.01
Cr (0.5000, 0.5000, 0.7285)  4 Au 2.81, 4 Tl 3.01
Au (0.0000, 0.0000, 0.5000)  8 Cr 2.81

As for the symmetry: P4/mmm. The value obtained for the formation energy is 0.46 eV per atom.

---

# 5
A relaxed TlCrAu2 crystal. Source: the Alexandria database, functional PBE.

Lattice parameters (Å, degrees): 6.1701 6.1701 6.1701 102.05 102.05 125.63
With the nearest neighbours (Å) after each atom.
Fractional positions:
Tl (0.0000, 0.0000, 0.0000)  2 Cr 2.82, 4 Au 2.96
Tl (0.7500, 0.2500, 0.5000)  2 Cr 2.82, 4 Au 2.96
Cr (0.2500, 0.7500, 0.5000)  4 Au 2.72, 2 Tl 2.82
Cr (0.5000, 0.5000, 0.0000)  4 Au 2.72, 2 Tl 2.82
Au (0.1476, 0.6250, 0.0226)  2 Cr 2.72, 2 Au 2.84, 2 Tl 2.96
Au (0.3750, 0.3976, 0.5226)  2 Cr 2.72, 2 Au 2.84, 2 Tl 2.96
Au (0.6024, 0.1250, 0.9774)  2 Cr 2.72, 2 Au 2.84, 2 Tl 2.96
Au (0.8750, 0.8524, 0.4774)  2 Cr 2.72, 2 Au 2.84, 2 Tl 2.96

As for the symmetry: I-42d. The value obtained for the formation energy is 0.31 eV per atom.

---

# 6
A relaxed TlCrAu2 crystal. Source: the Alexandria database, functional PBE.

Lattice parameters (Å, degrees): 5.2893 5.2893 5.2893 133.50 132.87 68.36
With the nearest neighbours (Å) after each atom.
Fractional positions:
Tl (0.0000, 0.0000, 0.0000)  8 Au 2.97-3.04, 4 Cr 3.03-3.04
Cr (0.7497, 0.2497, 0.5000)  8 Au 2.97-3.04, 4 Tl 3.03-3.04
Au (0.2502, 0.7502, 0.5000)  4 Cr 2.97, 4 Au 3.02-3.04, 4 Tl 3.03-3.04
Au (0.5000, 0.5000, 0.0000)  4 Tl 2.97, 4 Cr 3.02-3.04, 4 Au 3.02-3.04

As for the symmetry: Imm2. The value obtained for the formation energy is 0.20 eV per atom.

---

# 7
A relaxed TlCr2Au crystal. Source: the Alexandria database, functional PBE.

Lattice parameters (Å, degrees): 8.9130 8.9130 8.9130 19.98 19.98 19.98
With the nearest neighbours (Å) after each atom.
Fractional positions:
Tl (0.0000, 0.0000, 0.0000)  3 Cr 3.02, 6 Tl 3.09, 3 Au 3.13
Cr (0.2405, 0.2405, 0.2405)  3 Cr 2.39
Cr (0.5129, 0.5129, 0.5129)  3 Cr 2.39
Au (0.7650, 0.7650, 0.7650)  3 Cr 2.78, 6 Au 3.09

As for the symmetry: R3m. The value obtained for the formation energy is 0.48 eV per atom.

---

# 8
A relaxed TlCr2Au crystal. Source: the Alexandria database, functional PBE.

Lattice parameters (Å, degrees): 4.6865 4.6865 4.6865 60.00 60.00 60.00
With the nearest neighbours (Å) after each atom.
Fractional positions:
Tl (0.0000, 0.0000, 0.0000)  4 Cr 2.87, 4 Au 2.87
Cr (0.2500, 0.2500, 0.2500)  4 Cr 2.87, 4 Tl 2.87
Cr (0.5000, 0.5000, 0.5000)  4 Au 2.87, 4 Cr 2.87
Au (0.7500, 0.7500, 0.7500)  4 Cr 2.87, 4 Tl 2.87

As for the symmetry: F-43m. The value obtained for the formation energy is 0.43 eV per atom.

---

# 9
A relaxed TlCrAu2 crystal. Source: the Alexandria database, functional PBE.

Lattice parameters (Å, degrees): 8.6896 8.6896 8.6896 22.12 22.12 22.12
With the nearest neighbours (Å) after each atom.
Fractional positions:
Tl (0.0000, 0.0000, 0.0000)  3 Au 2.95, 3 Cr 2.95
Cr (0.2453, 0.2453, 0.2453)  3 Au 2.69, 3 Tl 2.95
Au (0.5050, 0.5050, 0.5050)  3 Cr 2.69, 3 Au 2.87
Au (0.7547, 0.7547, 0.7547)  3 Au 2.87, 3 Tl 2.95

As for the symmetry: R3m. The value obtained for the formation energy is 0.34 eV per atom.

---

# 10
A relaxed TlCr2Au crystal. Source: the Alexandria database, functional PBE.

Lattice parameters (Å, degrees): 2.9716 4.2574 5.6637 90.00 90.00 90.00
With the nearest neighbours (Å) after each atom.
Fractional positions:
Tl (0.0000, 0.0000, 0.0000)  2 Au 2.83, 2 Tl 2.97
Cr (0.5000, 0.5000, 0.3318)  1 Cr 1.91
Cr (0.5000, 0.5000, 0.6682)  1 Cr 1.91
Au (0.0000, 0.0000, 0.5000)  8 Cr 2.77, 2 Tl 2.83, 2 Au 2.97

As for the symmetry: Pmmm. The value obtained for the formation energy is 0.63 eV per atom.

---

# 11
A relaxed TlCrAu crystal. Source: the Alexandria database, functional PBE.

Lattice parameters (Å, degrees): 4.5728 4.5728 4.5728 60.00 60.00 60.00
With the nearest neighbours (Å) after each atom.
Fractional positions:
Tl (0.0000, 0.0000, 0.0000)  4 Cr 2.80
Cr (0.2500, 0.2500, 0.2500)  4 Tl 2.80, 4 Au 2.80
Au (0.5000, 0.5000, 0.5000)  4 Cr 2.80

As for the symmetry: F-43m. The value obtained for the formation energy is 0.45 eV per atom.

---

# 12
A relaxed TlCr2Au crystal. Source: the Alexandria database, functional PBE.

Lattice parameters (Å, degrees): 4.5587 4.5587 3.5427 90.00 90.00 90.00
With the nearest neighbours (Å) after each atom.
Fractional positions:
Tl (0.0000, 0.0000, 0.0000)  8 Cr 2.89, 4 Au 3.22
Cr (0.0000, 0.5000, 0.5000)  4 Tl 2.89, 4 Au 2.89, 4 Cr 3.22
Cr (0.5000, 0.0000, 0.5000)  4 Tl 2.89, 4 Au 2.89, 4 Cr 3.22
Au (0.5000, 0.5000, 0.0000)  8 Cr 2.89, 4 Tl 3.22

As for the symmetry: P4/mmm. The value obtained for the formation energy is 0.44 eV per atom.